## K2Mn3V2CO11 (PBE with a Hubbard U)

Data for crystalline K2Mn3V2CO11 at its relaxed geometry.

Output
Energy ... -0.5374 Ry/atom
Fermi-level density of states ... 0.00 states/eV/cell
Volume ... 549 Å³/cell
Magnetic moment ... 30.00 Bohr magnetons per cell

a = 5.2906 Å, b = 5.2906 Å, c = 22.6573 Å
α = 90.00°, β = 90.00°, γ = 120.00°
Space group P6_3/m (No. 176)
Symmetry-distinct sites (fractional):
K1 0.3333 0.6667 0.1586 [4 per cell]
Mn1 0.0000 0.0000 0.2500 [2 per cell]
Mn2 0.3333 0.6667 0.5044 [4 per cell]
V1 0.0000 0.0000 0.0796 [4 per cell]
C1 0.3333 0.6667 0.7500 [2 per cell]
O1 0.0000 0.0000 0.1556 [4 per cell]
O2 0.0106 0.6895 0.0545 [12 per cell]
O3 0.0715 0.4408 0.7500 [6 per cell]